A plane-wave DFT calculation with GGA-PBE was carried out for an optimized crystal structure of Na2LiSi4Pt3.

## Properties
Raw total energy   -4.93 eV per atom
Spin magnetization   0.00 μB/cell
D(E_F)   0.390 states/eV per atom
E_form (uncorrected)   -4.9 eV per formula unit

Cell lengths 4.182, 4.182, 9.882 Å; angles 90.00, 90.00, 90.00 degrees
Fractional positions:
Na  0.500  0.000  0.254
Na  0.000  0.500  0.746
Li  0.500  0.500  0.500
Si  0.500  0.500  0.000
Si  0.000  0.000  0.000
Si  0.500  0.000  0.629
Si  0.000  0.500  0.371
Pt  0.000  0.000  0.500
Pt  0.500  0.000  0.870
Pt  0.000  0.500  0.130

---

A plane-wave DFT calculation with GGA-PBE was carried out for an optimized crystal structure of NaLiSiPt.

## Properties
Raw total energy   -4.01 eV per atom
Spin magnetization   0.00 μB/cell
D(E_F)   0.265 states/eV per atom
E_form (uncorrected)   -1.3 eV per formula unit

Cell lengths 4.385, 4.385, 4.385 Å; angles 60.00, 60.00, 60.00 degrees
Fractional positions:
Na  0.250  0.250  0.250
Si  0.000  0.000  0.000
Pt  0.750  0.750  0.750
Li  0.500  0.500  0.500

---

A plane-wave DFT calculation with GGA-PBE was carried out for an optimized crystal structure of NaLiSiPt.

## Properties
Raw total energy   -4.17 eV per atom
Spin magnetization   0.00 μB/cell
D(E_F)   0.799 states/eV per atom
E_form (uncorrected)   -2.0 eV per formula unit

Cell lengths 4.179, 4.179, 5.647 Å; angles 89.83, 111.86, 120.07 degrees
Fractional positions:
Na  0.407  0.068  0.475
Li  0.006  0.868  0.874
Si  0.471  0.600  0.071
Pt  0.808  0.269  0.076

---

A plane-wave DFT calculation with GGA-PBE was carried out for an optimized crystal structure of Na2LiSi2Pt5.

## Properties
Raw total energy   -5.10 eV per atom
Spin magnetization   0.00 μB/cell
D(E_F)   0.287 states/eV per atom
E_form (uncorrected)   -5.4 eV per formula unit

Cell lengths 3.464, 9.579, 9.579 Å; angles 90.00, 90.00, 90.00 degrees
Fractional positions:
Na  0.000  0.670  0.170
Na  0.000  0.330  0.830
Na  0.000  0.170  0.330
Na  0.000  0.830  0.670
Li  0.000  0.000  0.000
Li  0.000  0.500  0.500
Si  0.000  0.132  0.632
Si  0.000  0.868  0.368
Si  0.000  0.632  0.868
Si  0.000  0.368  0.132
Pt  0.500  0.203  0.070
Pt  0.500  0.797  0.930
Pt  0.500  0.070  0.797
Pt  0.500  0.703  0.430
Pt  0.500  0.930  0.203
Pt  0.500  0.297  0.570
Pt  0.500  0.570  0.703
Pt  0.500  0.430  0.297
Pt  0.500  0.500  0.000
Pt  0.500  0.000  0.500

---

A plane-wave DFT calculation with GGA-PBE was carried out for an optimized crystal structure of Na2LiSn4Pt3.

## Properties
Raw total energy   -4.29 eV per atom
Spin magnetization   0.00 μB/cell
D(E_F)   0.596 states/eV per atom
Formation energy from the elements   -0.42 eV per atom

Cell lengths 4.623, 4.623, 10.828 Å; angles 90.00, 90.00, 90.00 degrees
Fractional positions:
Na  0.500  0.000  0.261
Na  0.000  0.500  0.739
Li  0.500  0.500  0.500
Sn  0.500  0.500  0.000
Sn  0.000  0.000  0.000
Sn  0.500  0.000  0.628
Sn  0.000  0.500  0.372
Pt  0.000  0.000  0.500
Pt  0.500  0.000  0.870
Pt  0.000  0.500  0.130

---

A plane-wave DFT calculation with GGA-PBE was carried out for an optimized crystal structure of NaLi2SnPt.

## Properties
Raw total energy   -3.37 eV per atom
Spin magnetization   0.00 μB/cell
D(E_F)   0.307 states/eV per atom
Formation energy from the elements   -0.33 eV per atom

Cell lengths 4.929, 4.929, 5.055 Å; angles 90.00, 90.00, 90.00 degrees
Fractional positions:
Na  0.500  0.500  0.500
Sn  0.000  0.000  0.500
Pt  0.000  0.000  0.000
Li  0.000  0.500  0.000
Li  0.500  0.000  0.000

---

A plane-wave DFT calculation with GGA-PBE was carried out for an optimized crystal structure of NaSrLiPt.

## Properties
Raw total energy   -3.02 eV per atom
Spin magnetization   0.00 μB/cell
D(E_F)   0.157 states/eV per atom
Formation energy from the elements   -0.28 eV per atom

Cell lengths 5.112, 5.112, 5.112 Å; angles 60.00, 60.00, 60.00 degrees
Fractional positions:
Sr  0.250  0.250  0.250
Li  0.750  0.750  0.750
Pt  0.500  0.500  0.500
Na  0.000  0.000  0.000

---

A plane-wave DFT calculation with GGA-PBE was carried out for an optimized crystal structure of Na2LiTePt.

## Properties
Raw total energy   -2.76 eV per atom
Spin magnetization   0.00 μB/cell
D(E_F)   0.382 states/eV per atom
E_form (uncorrected)   -0.1 eV per formula unit

Cell lengths 5.025, 4.458, 5.025 Å; angles 90.00, 90.00, 90.00 degrees
Fractional positions:
Na  0.000  0.000  0.500
Na  0.500  0.000  0.000
Te  0.500  0.500  0.500
Pt  0.000  0.500  0.000
Li  0.000  0.000  0.000

---

A plane-wave DFT calculation with GGA-PBE was carried out for an optimized crystal structure of NaLi2TlPt.

## Properties
Raw total energy   -2.92 eV per atom
Spin magnetization   0.00 μB/cell
D(E_F)   0.472 states/eV per atom
Formation energy from the elements   -0.21 eV per atom

Cell lengths 4.889, 4.889, 5.259 Å; angles 90.00, 90.00, 90.00 degrees
Fractional positions:
Na  0.500  0.500  0.500
Tl  0.000  0.000  0.500
Pt  0.000  0.000  0.000
Li  0.000  0.500  0.000
Li  0.500  0.000  0.000

---

A plane-wave DFT calculation with GGA-PBE was carried out for an optimized crystal structure of NaLiTl2Pt.

## Properties
Raw total energy   -2.95 eV per atom
Spin magnetization   0.00 μB/cell
D(E_F)   0.455 states/eV per atom
Formation energy from the elements   -0.15 eV per atom

Cell lengths 5.308, 5.308, 4.969 Å; angles 90.00, 90.00, 90.00 degrees
Fractional positions:
Na  0.500  0.500  0.500
Tl  0.000  0.500  0.000
Tl  0.500  0.000  0.000
Pt  0.000  0.000  0.000
Li  0.000  0.000  0.500

---

A plane-wave DFT calculation with GGA-PBE was carried out for an optimized crystal structure of NaLi2ZnPt.

## Properties
Raw total energy   -2.70 eV per atom
Spin magnetization   0.00 μB/cell
D(E_F)   0.503 states/eV per atom
Formation energy from the elements   -0.21 eV per atom

Cell lengths 4.801, 4.801, 4.903 Å; angles 90.00, 90.00, 90.00 degrees
Fractional positions:
Na  0.500  0.500  0.500
Zn  0.000  0.000  0.500
Pt  0.000  0.000  0.000
Li  0.000  0.500  0.000
Li  0.500  0.000  0.000

---

A plane-wave DFT calculation with GGA-PBE was carried out for an optimized crystal structure of NaLi2ZrPt.

## Properties
Raw total energy   -2.41 eV per atom
Spin magnetization   3.14 μB/cell
D(E_F)   1.010 states/eV per atom
Formation energy from the elements   1.54 eV per atom

Cell lengths 4.951, 5.454, 4.951 Å; angles 90.00, 90.00, 90.00 degrees
Fractional positions:
Na  0.000  0.500  0.000
Zr  0.000  0.000  0.000
Pt  0.500  0.500  0.500
Li  0.000  0.000  0.500
Li  0.500  0.000  0.000

---

A plane-wave DFT calculation with GGA-PBE was carried out for an optimized crystal structure of NaLi2Pu.

## Properties
Raw total energy   -4.59 eV per atom
Spin magnetization   5.97 μB/cell
D(E_F)   2.148 states/eV per atom
Formation energy from the elements   0.28 eV per atom

Cell lengths 3.179, 3.179, 12.065 Å; angles 82.43, 82.43, 60.00 degrees
Fractional positions:
Na  0.500  0.500  0.500
Li  0.086  0.086  0.742
Li  0.914  0.914  0.258
Pu  0.000  0.000  0.000